No. 1
Material: Sc2Co2Cu
Method: DFT, SCAN
State: single point on PBEsol structure

Structure (POSCAR):
```
Sc2Co2Cu
1.0
3.266 0.000 0.000
0.000 3.266 0.000
0.000 0.000 14.694
Sc Co Cu
4 4 2
Direct
0.000 0.000 0.108
0.000 0.000 0.892
0.500 0.500 0.392
0.500 0.500 0.608
0.000 0.500 0.250
0.000 0.500 0.750
0.500 0.000 0.250
0.500 0.000 0.750
0.000 0.000 0.500
0.500 0.500 0.000
```

Properties
E above lowest polymorph	0.662	eV per formula unit
volume	15.67	Å³/atom
space-group type	I4/mmm
raw total energy	-156.71	eV/cell
total magnetic moment	4.9	μB per cell
calculated formation energy	-0.015	eV/atom

No. 2
Material: Tc2PdAuO
Method: DFT, SCAN
State: single point on PBEsol structure

Structure (POSCAR):
```
Tc2PdAuO
1.0
3.969 0.000 0.000
0.000 3.969 0.000
0.000 0.000 4.325
Tc Pd Au O
2 1 1 1
Direct
0.000 0.500 0.000
0.500 0.000 0.000
0.000 0.000 0.500
0.500 0.500 0.500
0.000 0.000 0.000
```

Properties
volume	13.62	Å³/atom
space-group type	P4/mmm
formation energy from raw total energies	0.142	eV/atom
raw total energy	-177.57	eV/cell
total magnetic moment	2.3	μB per cell

The highest total magnetic moment belongs to which entry? Sc2Co2Cu